1.
# Dy6Y2Ho

Crystalline Dy6Y2Ho at its relaxed geometry (GGA-PBE, Alexandria via LeMat-Bulk).

abc: 10.637 10.637 5.019
angles: 90.00 90.00 90.00
Fractional positions:
1 Dy 0.000 0.334 0.000
2 Dy 0.000 0.666 0.000
3 Dy 0.166 0.500 0.500
4 Dy 0.167 0.167 0.500
5 Dy 0.333 0.667 0.000
6 Dy 0.334 0.000 0.000
7 Dy 0.500 0.166 0.500
8 Dy 0.500 0.834 0.500
9 Dy 0.666 0.000 0.000
10 Dy 0.667 0.333 0.000
11 Dy 0.833 0.833 0.500
12 Dy 0.834 0.500 0.500
13 Y 0.166 0.834 0.500
14 Y 0.334 0.334 0.000
15 Y 0.666 0.666 0.000
16 Y 0.834 0.166 0.500
17 Ho 0.000 0.000 0.000
18 Ho 0.500 0.500 0.500

Electronic total energy in eV/atom: -4.992
Calculated volume in Å³/cell: 568
ΔE_f in eV per atom: 0.02

=====

2.
# Dy2Y5Ho5

Crystalline Dy2Y5Ho5 at its relaxed geometry (GGA-PBE, Alexandria via LeMat-Bulk).

abc: 6.594 6.594 11.935
angles: 106.37 106.37 50.23
Fractional positions:
1 Dy 0.036 0.036 0.213
2 Dy 0.964 0.964 0.787
3 Y 0.000 0.000 0.500
4 Y 0.203 0.203 0.046
5 Y 0.251 0.251 0.749
6 Y 0.749 0.749 0.251
7 Y 0.797 0.797 0.954
8 Ho 0.295 0.295 0.454
9 Ho 0.462 0.462 0.288
10 Ho 0.500 0.500 0.000
11 Ho 0.538 0.538 0.712
12 Ho 0.705 0.705 0.546

Electronic total energy in eV/atom: -5.301
Offset from the most stable computed form in meV/atom: 44.1
Calculated volume in Å³/cell: 379
ΔE_f in eV per atom: 0.07

=====

3.
# Dy2Y4Ho7

Crystalline Dy2Y4Ho7 at its relaxed geometry (GGA-PBE, Alexandria via LeMat-Bulk).

abc: 6.132 7.892 9.379
angles: 65.15 89.74 82.52
Fractional positions:
1 Dy 0.153 0.078 0.116
2 Dy 0.847 0.922 0.884
3 Y 0.308 0.155 0.732
4 Y 0.461 0.232 0.346
5 Y 0.539 0.768 0.654
6 Y 0.692 0.845 0.268
7 Ho 0.000 0.000 0.500
8 Ho 0.077 0.539 0.808
9 Ho 0.229 0.616 0.423
10 Ho 0.383 0.692 0.039
11 Ho 0.617 0.308 0.961
12 Ho 0.771 0.384 0.577
13 Ho 0.923 0.461 0.192

Electronic total energy in eV/atom: -5.143
Calculated volume in Å³/cell: 408
ΔE_f in eV per atom: 0.02

=====

4.
# Dy7Y4Ho

Crystalline Dy7Y4Ho at its relaxed geometry (GGA-PBE, Alexandria via LeMat-Bulk).

abc: 6.676 6.676 12.644
angles: 114.80 114.80 52.27
Fractional positions:
1 Dy 0.000 0.000 0.000
2 Dy 0.213 0.213 0.924
3 Dy 0.244 0.244 0.681
4 Dy 0.367 0.367 0.499
5 Dy 0.633 0.633 0.501
6 Dy 0.756 0.756 0.319
7 Dy 0.787 0.787 0.076
8 Y 0.062 0.062 0.320
9 Y 0.361 0.361 0.224
10 Y 0.639 0.639 0.776
11 Y 0.938 0.938 0.680
12 Ho 0.500 0.500 0.000

Electronic total energy in eV/atom: -4.935
Offset from the most stable computed form in meV/atom: 284.7
Calculated volume in Å³/cell: 394
ΔE_f in eV per atom: 0.29

=====

5.
# DyY6Ho2

Crystalline DyY6Ho2 at its relaxed geometry (GGA-PBE, Alexandria via LeMat-Bulk).

abc: 8.886 8.886 9.026
angles: 115.76 115.76 82.27
Fractional positions:
1 Dy 0.083 0.917 0.750
2 Dy 0.917 0.083 0.250
3 Y 0.114 0.297 0.132
4 Y 0.196 0.499 0.594
5 Y 0.297 0.114 0.632
6 Y 0.306 0.528 0.013
7 Y 0.472 0.694 0.487
8 Y 0.499 0.196 0.094
9 Y 0.501 0.804 0.906
10 Y 0.528 0.306 0.513
11 Y 0.694 0.472 0.987
12 Y 0.703 0.886 0.368
13 Y 0.804 0.501 0.406
14 Y 0.886 0.703 0.868
15 Ho 0.064 0.720 0.305
16 Ho 0.280 0.936 0.195
17 Ho 0.720 0.064 0.805
18 Ho 0.936 0.280 0.695

Electronic total energy in eV/atom: -5.769
Offset from the most stable computed form in meV/atom: 0.0
Calculated volume in Å³/cell: 577
ΔE_f in eV per atom: 0.07

=====

6.
# Dy5Y5Ho2

Crystalline Dy5Y5Ho2 at its relaxed geometry (GGA-PBE, Alexandria via LeMat-Bulk).

abc: 6.602 6.602 11.947
angles: 106.37 106.37 50.25
Fractional positions:
1 Dy 0.000 0.000 0.000
2 Dy 0.039 0.039 0.712
3 Dy 0.205 0.205 0.546
4 Dy 0.795 0.795 0.454
5 Dy 0.961 0.961 0.288
6 Y 0.249 0.249 0.250
7 Y 0.297 0.297 0.954
8 Y 0.500 0.500 0.500
9 Y 0.703 0.703 0.046
10 Y 0.751 0.751 0.750
11 Ho 0.464 0.464 0.787
12 Ho 0.536 0.536 0.213

Electronic total energy in eV/atom: -5.308
Offset from the most stable computed form in meV/atom: 44.5
Calculated volume in Å³/cell: 381
ΔE_f in eV per atom: 0.07

=====

7.
# Dy4YHo7

Crystalline Dy4YHo7 at its relaxed geometry (GGA-PBE, Alexandria via LeMat-Bulk).

abc: 6.472 6.767 8.991
angles: 85.83 76.85 81.91
Fractional positions:
1 Dy 0.139 0.305 0.285
2 Dy 0.340 0.885 0.689
3 Dy 0.660 0.115 0.311
4 Dy 0.861 0.695 0.715
5 Y 0.500 0.500 0.000
6 Ho 0.015 0.251 0.948
7 Ho 0.185 0.798 0.359
8 Ho 0.309 0.394 0.613
9 Ho 0.500 0.000 0.000
10 Ho 0.691 0.606 0.387
11 Ho 0.815 0.202 0.641
12 Ho 0.985 0.749 0.052

Electronic total energy in eV/atom: -4.655
Offset from the most stable computed form in meV/atom: 0.0
Calculated volume in Å³/cell: 379
ΔE_f in eV per atom: 0.09

=====

8.
# Dy2Y7Ho

Crystalline Dy2Y7Ho at its relaxed geometry (GGA-PBE, Alexandria via LeMat-Bulk).

abc: 15.169 15.169 3.506
angles: 90.08 90.08 156.52
Fractional positions:
1 Dy 0.192 0.808 0.000
2 Dy 0.808 0.192 0.000
3 Y 0.154 0.354 0.732
4 Y 0.293 0.707 0.500
5 Y 0.354 0.154 0.732
6 Y 0.500 0.500 0.000
7 Y 0.646 0.846 0.268
8 Y 0.707 0.293 0.500
9 Y 0.846 0.646 0.268
10 Ho 0.000 0.000 0.500

Electronic total energy in eV/atom: -5.786
Offset from the most stable computed form in meV/atom: 0.0
Calculated volume in Å³/cell: 321
ΔE_f in eV per atom: 0.12

=====

9.
# Dy5Y4Ho3

Crystalline Dy5Y4Ho3 at its relaxed geometry (GGA-PBE, Alexandria via LeMat-Bulk).

abc: 6.142 7.099 8.681
angles: 89.98 89.93 89.90
Fractional positions:
1 Dy 0.000 0.000 0.000
2 Dy 0.334 0.500 0.667
3 Dy 0.499 0.749 0.001
4 Dy 0.501 0.251 0.999
5 Dy 0.666 0.500 0.333
6 Y 0.166 0.251 0.333
7 Y 0.333 0.000 0.667
8 Y 0.667 0.000 0.333
9 Y 0.834 0.749 0.667
10 Ho 0.000 0.500 0.000
11 Ho 0.167 0.749 0.333
12 Ho 0.833 0.251 0.667

Electronic total energy in eV/atom: -5.195
Offset from the most stable computed form in meV/atom: 0.0
Calculated volume in Å³/cell: 379
ΔE_f in eV per atom: 0.02